VASP calculation (PBE with a Hubbard U) on a geometry-optimized LaAlCr2O8 structure.

## Properties
As for the uncorrected energy: -7.328 eV per atom. The calculation puts the density of states at the Fermi level at 7.6 states/eV per cell.

a = 5.4245 Å, b = 5.4245 Å, c = 6.5556 Å
α = 90.00°, β = 90.00°, γ = 120.00°
Positions (direct):
La: 0.0000 0.0000 0.0000
Al: 0.0000 0.0000 0.5000
Cr: 0.3333 0.6667 0.2440
Cr: 0.6667 0.3333 0.7560
O: 0.1552 0.3104 0.3157
O: 0.1552 0.8448 0.3157
O: 0.3104 0.1552 0.6843
O: 0.3333 0.6667 0.9877
O: 0.6667 0.3333 0.0123
O: 0.6896 0.8448 0.3157
O: 0.8448 0.1552 0.6843
O: 0.8448 0.6896 0.6843